Record 1
A plane-wave DFT calculation with PBE-GGA was carried out for a relaxed LiZnMo2 crystal.

Output
Raw total energy in Ry/atom: -0.44015
M_tot in Bohr magnetons per cell: 0.00
E_form in eV/atom: 0.224
Theoretical density in g/cm3: 7.4

Lattice parameters (Å, degrees): 4.511 2.614 5.259 73.11 90.00 90.00
Positions (direct):
Zn1 0.500 0.250 0.250
Mo1 0.000 0.010 0.993
Li1 0.500 0.750 0.750
Mo2 0.000 0.490 0.507

Record 2
A plane-wave DFT calculation with PBE-GGA was carried out for a relaxed LiZnMo crystal.

Output
Raw total energy in Ry/atom: -0.31937
M_tot in Bohr magnetons per cell: 0.00
E_form in eV/atom: 0.328
Offset from the most stable computed form in meV/atom: 196.9
Theoretical density in g/cm3: 6.5

Lattice parameters (Å, degrees): 4.447 4.447 2.524 90.00 90.00 120.00
Positions (direct):
Mo1 0.333 0.667 0.333
Zn1 0.667 0.333 0.833
Li1 0.000 0.000 0.833

Record 3
A plane-wave DFT calculation with PBE-GGA was carried out for a relaxed LiZn4Mo crystal.

Output
Raw total energy in Ry/atom: -0.20574
M_tot in Bohr magnetons per cell: 1.31
E_form in eV/atom: 0.174
Theoretical density in g/cm3: 6.7

Lattice parameters (Å, degrees): 5.025 5.025 5.025 60.00 60.00 60.00
Site moments in Bohr magnetons follow the coordinates.
Positions (direct):
Zn1 0.374 0.374 0.877  -0.01
Li1 0.750 0.750 0.750  0.01
Mo1 0.000 0.000 0.000  1.18
Zn2 0.374 0.374 0.374  -0.01
Zn3 0.374 0.877 0.374  -0.01
Zn4 0.877 0.374 0.374  -0.01

Record 4
A plane-wave DFT calculation with PBE-GGA was carried out for a relaxed LiZnMo2 crystal.

Output
Raw total energy in Ry/atom: -0.41485
M_tot in Bohr magnetons per cell: 0.00
E_form in eV/atom: 0.568
Theoretical density in g/cm3: 6.8

Lattice parameters (Å, degrees): 3.616 3.616 10.171 79.76 79.76 90.00
Positions (direct):
Mo1 0.127 0.625 0.250
Li1 0.250 0.750 0.500
Mo2 0.623 0.125 0.250
Li2 0.500 0.500 0.000
Mo3 0.875 0.873 0.750
Mo4 0.375 0.377 0.750
Zn1 0.750 0.250 0.500
Zn2 0.000 0.000 0.000

Record 5
A plane-wave DFT calculation with PBE-GGA was carried out for a relaxed Li3ZnMo crystal.

Output
Raw total energy in Ry/atom: -0.18846
M_tot in Bohr magnetons per cell: 0.00
E_form in eV/atom: 1.005
Offset from the most stable computed form in meV/atom: 0.0
Theoretical density in g/cm3: 3.8

Lattice parameters (Å, degrees): 4.315 4.315 4.315 90.00 90.00 90.00
Positions (direct):
Mo1 0.500 0.500 0.500
Li1 0.000 0.500 0.000
Li2 0.500 0.000 0.000
Zn1 0.000 0.000 0.000
Li3 0.000 0.000 0.500

Record 6
A plane-wave DFT calculation with PBE-GGA was carried out for a relaxed LiZr2Mo crystal.

Output
Raw total energy in Ry/atom: -0.52338
M_tot in Bohr magnetons per cell: 0.00
E_form in eV/atom: 0.339
Offset from the most stable computed form in meV/atom: 299.1
Theoretical density in g/cm3: 6.1

Lattice parameters (Å, degrees): 2.814 2.814 9.769 90.00 90.00 90.00
Positions (direct):
Li1 0.000 0.000 0.519
Zr1 0.500 0.500 0.255
Mo1 0.500 0.500 0.741
Zr2 0.000 0.000 0.985

Record 7
A plane-wave DFT calculation with PBE-GGA was carried out for a relaxed LiZr2Mo crystal.

Output
Raw total energy in Ry/atom: -0.53799
M_tot in Bohr magnetons per cell: 0.00
E_form in eV/atom: 0.141
Offset from the most stable computed form in meV/atom: 100.3
Theoretical density in g/cm3: 5.8

Lattice parameters (Å, degrees): 2.989 2.989 9.778 90.00 90.00 110.64
Positions (direct):
Mo1 0.500 0.500 0.750
Li1 0.500 0.500 0.250
Zr1 0.000 0.000 0.973
Zr2 0.000 0.000 0.527

Record 8
A plane-wave DFT calculation with PBE-GGA was carried out for a relaxed LiZrMo4 crystal.

Output
Raw total energy in Ry/atom: -0.63698
M_tot in Bohr magnetons per cell: 0.00
E_form in eV/atom: 0.298
Theoretical density in g/cm3: 7.5

Lattice parameters (Å, degrees): 5.327 5.327 5.327 60.00 60.00 60.00
Positions (direct):
Zr1 0.250 0.250 0.250
Li1 0.000 0.000 0.000
Mo1 0.626 0.626 0.123
Mo2 0.626 0.626 0.626
Mo3 0.123 0.626 0.626
Mo4 0.626 0.123 0.626

Record 9
A plane-wave DFT calculation with PBE-GGA was carried out for a relaxed Li4ZrMo crystal.

Output
Raw total energy in Ry/atom: -0.29768
M_tot in Bohr magnetons per cell: 0.00
E_form in eV/atom: 0.456
Theoretical density in g/cm3: 3.9

Lattice parameters (Å, degrees): 5.079 5.079 5.079 60.00 60.00 60.00
Positions (direct):
Li1 0.869 0.377 0.377
Li2 0.377 0.869 0.377
Li3 0.377 0.377 0.869
Li4 0.377 0.377 0.377
Zr1 0.000 0.000 0.000
Mo1 0.750 0.750 0.750

Record 10
A plane-wave DFT calculation with PBE-GGA was carried out for a relaxed LiZr2Mo crystal.

Output
Raw total energy in Ry/atom: -0.51982
M_tot in Bohr magnetons per cell: 0.36
E_form in eV/atom: 0.388
Offset from the most stable computed form in meV/atom: 347.5
Theoretical density in g/cm3: 6.0

Lattice parameters (Å, degrees): 10.840 10.840 10.840 15.45 15.45 15.45
Site moments in Bohr magnetons follow the coordinates.
Positions (direct):
Li1 0.495 0.495 0.495  0.01
Mo1 0.752 0.752 0.752  0.21
Zr1 0.005 0.005 0.005  0.03
Zr2 0.249 0.249 0.249  0.01

Record 11
A plane-wave DFT calculation with PBE-GGA was carried out for a relaxed LiZr4Mo crystal.

Output
Raw total energy in Ry/atom: -0.52227
M_tot in Bohr magnetons per cell: 0.93
E_form in eV/atom: 0.717
Theoretical density in g/cm3: 5.9

Lattice parameters (Å, degrees): 5.713 5.713 5.713 60.00 60.00 60.00
Site moments in Bohr magnetons follow the coordinates.
Positions (direct):
Zr1 0.373 0.881 0.373  0.03
Li1 0.750 0.750 0.750  0.00
Zr2 0.373 0.373 0.881  0.03
Zr3 0.881 0.373 0.373  0.03
Mo1 0.000 0.000 0.000  0.60
Zr4 0.373 0.373 0.373  0.03

Record 12
A plane-wave DFT calculation with PBE-GGA was carried out for a relaxed LiZr2Mo crystal.

Output
Raw total energy in Ry/atom: -0.49126
M_tot in Bohr magnetons per cell: 0.00
E_form in eV/atom: 0.776
Offset from the most stable computed form in meV/atom: 736.1
Theoretical density in g/cm3: 5.9

Lattice parameters (Å, degrees): 4.084 4.084 10.028 78.25 78.25 90.00
Positions (direct):
Zr1 0.375 0.362 0.750
Li1 0.250 0.750 0.500
Mo1 0.000 0.000 0.000
Zr2 0.112 0.625 0.250
Zr3 0.875 0.888 0.750
Zr4 0.638 0.125 0.250
Li2 0.500 0.500 0.000
Mo2 0.750 0.250 0.500